Material: Tc2As2W
Method: DFT, PBE-GGA
State: optimized geometry

Lattice parameters (Å, degrees): 5.4248 5.4248 5.4248 132.16 132.16 69.97
Closest atoms and distances in Å follow each position.
Element x y z (fractional)
As 0.2500 0.7500 0.5000  4 Tc 2.45
As 0.7500 0.2500 0.5000  4 Tc 2.45
W 0.0000 0.0000 0.0000  8 As 3.13, 10 Tc 3.30-3.32
Tc 0.3709 0.3709 0.0000  1 Tc 2.29, 4 As 2.45
Tc 0.6291 0.6291 0.0000  1 Tc 2.29, 4 As 2.45

Output
The value obtained for the electronic total energy is -7.814 eV/atom. The formation energy comes out at 0.783 eV/atom. The value obtained for the relative energy among the computed polymorphs is 529 meV/atom.

Material: Tc3AsW
Method: DFT, PBE-GGA
State: optimized geometry

Lattice parameters (Å, degrees): 4.4451 4.4451 4.4451 90.00 90.00 90.00
Closest atoms and distances in Å follow each position.
Element x y z (fractional)
As 0.0000 0.0000 0.0000  6 Tc 2.22
Tc 0.0000 0.5000 0.0000  2 As 2.22
Tc 0.5000 0.0000 0.0000  2 As 2.22
Tc 0.0000 0.0000 0.5000  2 As 2.22
W 0.5000 0.5000 0.5000  12 Tc 3.14

Output
The value obtained for the electronic total energy is -8.492 eV/atom. The formation energy comes out at 1.248 eV/atom. The value obtained for the relative energy among the computed polymorphs is 0 meV/atom.

Material: Tc3AsW
Method: DFT, PBE-GGA
State: optimized geometry

Lattice parameters (Å, degrees): 4.7195 4.7195 4.7195 90.00 90.00 90.00
Closest atoms and distances in Å follow each position.
Element x y z (fractional)
As 0.5000 0.5000 0.5000  12 Tc 3.34
Tc 0.0000 0.0000 0.5000  2 W 2.36
Tc 0.0000 0.5000 0.0000  2 W 2.36
Tc 0.5000 0.0000 0.0000  2 W 2.36
W 0.0000 0.0000 0.0000  6 Tc 2.36

Output
The value obtained for the electronic total energy is -7.932 eV/atom. The formation energy comes out at 1.809 eV/atom. The value obtained for the relative energy among the computed polymorphs is 561 meV/atom.

Material: TcAsW4
Method: DFT, PBE-GGA
State: optimized geometry

Lattice parameters (Å, degrees): 5.2585 5.2585 5.2585 60.00 60.00 60.00
Closest atoms and distances in Å follow each position.
Element x y z (fractional)
W 0.6245 0.6245 0.1265  6 W 2.62-2.64
W 0.6245 0.1265 0.6245  6 W 2.62-2.64
W 0.6245 0.6245 0.6245  6 W 2.62-2.64
W 0.1265 0.6245 0.6245  6 W 2.62-2.64
As 0.2500 0.2500 0.2500  12 W 3.08, 4 Tc 3.22
Tc 0.0000 0.0000 0.0000  12 W 3.08, 4 As 3.22

Output
The value obtained for the electronic total energy is -10.379 eV/atom. The formation energy comes out at 0.759 eV/atom.

Material: TcAs3W
Method: DFT, PBE-GGA
State: optimized geometry

Lattice parameters (Å, degrees): 4.8695 4.8695 4.8695 90.00 90.00 90.00
Closest atoms and distances in Å follow each position.
Element x y z (fractional)
Tc 0.5000 0.5000 0.5000  12 As 3.44
As 0.0000 0.5000 0.0000  2 W 2.43
As 0.0000 0.0000 0.5000  2 W 2.43
As 0.5000 0.0000 0.0000  2 W 2.43
W 0.0000 0.0000 0.0000  6 As 2.43

Output
The value obtained for the electronic total energy is -6.299 eV/atom. The formation energy comes out at 1.154 eV/atom. The value obtained for the relative energy among the computed polymorphs is 0 meV/atom.

Material: Tc2As2W
Method: DFT, PBE-GGA
State: optimized geometry

Lattice parameters (Å, degrees): 7.1406 7.1406 2.9663 90.00 90.00 90.00
Closest atoms and distances in Å follow each position.
Element x y z (fractional)
Tc 0.8530 0.3530 0.5000  6 As 2.49-2.62
Tc 0.3530 0.1470 0.5000  6 As 2.49-2.62
Tc 0.6470 0.8530 0.5000  6 As 2.49-2.62
Tc 0.1470 0.6470 0.5000  6 As 2.49-2.62
W 0.5000 0.5000 0.0000  4 As 2.70, 2 W 2.97
W 0.0000 0.0000 0.0000  4 As 2.70, 2 W 2.97
As 0.6552 0.1552 0.0000  6 Tc 2.49-2.62, 2 W 2.70
As 0.3448 0.8448 0.0000  6 Tc 2.49-2.62, 2 W 2.70
As 0.1552 0.3448 0.0000  6 Tc 2.49-2.62, 2 W 2.70
As 0.8448 0.6552 0.0000  6 Tc 2.49-2.62, 2 W 2.70

Output
The value obtained for the electronic total energy is -8.343 eV/atom. The formation energy comes out at 0.253 eV/atom. The value obtained for the relative energy among the computed polymorphs is 0 meV/atom.

Q: formation energy of number 3 (Tc3AsW)?
A: 1.809 eV/atom